A relaxed CePuHfSc crystal, computed with PBE-GGA. Values from VASP.

Values from the calculation:
The space-group type is F-43m, No. 216. For the energy relative to the elements, the calculation gives 0.24 eV per atom.

```
&SYSTEM
  ibrav = 0, nat = 4, ntyp = 4
/
ATOMIC_SPECIES
Ce 140.12 Ce.upf
Pu 244.00 Pu.upf
Hf 178.49 Hf.upf
Sc 44.96 Sc.upf
CELL_PARAMETERS angstrom
0.000 3.694 3.694
3.694 0.000 3.694
3.694 3.694 0.000
ATOMIC_POSITIONS crystal
Ce 0.000 0.000 0.000
Pu 0.500 0.500 0.500
Hf 0.250 0.250 0.250
Sc 0.750 0.750 0.750
```